# KSr2PbS4

Crystalline KSr2PbS4 at its relaxed geometry (PBE, Alexandria).

Lattice parameters (Å, degrees): 8.561 8.561 8.561 119.76 119.38 90.75
Atoms (fractional coordinates):
K 0.500 0.000 0.000
K 0.500 0.500 0.500
Sr 0.000 0.000 0.000
Sr 0.000 0.000 0.500
Sr 0.000 0.500 0.000
Sr 0.500 0.000 0.500
Pb 0.000 0.500 0.500
Pb 0.500 0.500 0.000
S 0.228 0.742 0.486
S 0.244 0.246 0.502
S 0.244 0.258 0.986
S 0.244 0.742 0.998
S 0.756 0.258 0.002
S 0.756 0.742 0.014
S 0.756 0.754 0.498
S 0.772 0.258 0.514

Output
DOS(E_F)   0.983 states/eV per atom
E   -70.45 eV for the cell shown